Here is a relaxed structure of TiMn3P4O16 from Alexandria. Energies are from PBE+U.

Computed properties:
total moment: 13.0 μB per formula unit
density of states at the Fermi level: 0.0522 states/eV/atom
VASP energy: -183.357 eV/cell

a b c (Å): 6.0443 4.9714 9.9748
angles (deg): 89.95 90.00 90.00
Closest atoms and distances in Å follow each position.
Fractional positions:
O1 0.0000 0.2812 0.1307  1 P 1.55
O2 0.5000 0.1338 0.5540  1 P 1.57
O3 0.2995 0.2320 0.3335  1 P 1.55
O4 0.0000 0.2360 0.6053  1 P 1.51
O5 0.5000 0.6823 0.8564  1 P 1.54
O6 0.0000 0.6415 0.9562  1 P 1.51
O7 0.5000 0.3597 0.0515  1 P 1.52
O8 0.3058 0.2270 0.8300  1 P 1.57
O9 0.2003 0.7313 0.1768  1 P 1.57
O10 0.2044 0.7992 0.6693  1 P 1.59
O11 0.6942 0.2270 0.8300  1 P 1.57
O12 0.5000 0.7811 0.3785  1 P 1.54
O13 0.7005 0.2320 0.3335  1 P 1.55
O14 0.0000 0.8422 0.4461  1 P 1.54
O15 0.7956 0.7992 0.6693  1 P 1.59
O16 0.7997 0.7313 0.1768  1 P 1.57
Mn1 0.0000 0.0724 0.2911  4 O 1.91-2.02
Mn2 0.5000 0.5810 0.2140  4 O 1.92-1.99
Mn3 0.0000 0.4573 0.7764  4 O 2.01-2.24
P1 0.5000 0.3844 0.8996  4 O 1.52-1.57
P2 0.0000 0.5887 0.1058  4 O 1.51-1.57
P3 0.5000 0.0879 0.3988  4 O 1.54-1.57
P4 0.0000 0.9331 0.5941  4 O 1.51-1.59
Ti1 0.5000 0.9587 0.7224  6 O 1.89-2.08